#a
DFT (PBE-GGA) results for an optimized crystal structure of TiSe2N2.

Summary:
Density of states at the Fermi level: 2.12 states/eV per cell

Cell lengths 5.021, 5.021, 3.861 Å; angles 90.00, 90.00, 90.00 degrees
Space group P4/mmm (No. 123)
Inequivalent atoms, fractional coordinates:
Ti: 0.000 0.000 0.000 [1 per cell]
Se: 0.000 0.500 0.000 [2 per cell]
N: 0.000 0.000 0.500 [1 per cell]
N: 0.500 0.500 0.500 [1 per cell]



#b
DFT (PBE-GGA) results for an optimized crystal structure of TiSe2N2.

Summary:
Density of states at the Fermi level: 3.09 states/eV per cell

Cell lengths 4.186, 4.186, 3.860 Å; angles 90.00, 90.00, 90.00 degrees
Space group P4/mmm (No. 123)
Inequivalent atoms, fractional coordinates:
Ti: 0.000 0.000 0.000 [1 per cell]
Se: 0.000 0.500 0.500 [2 per cell]
N: 0.500 0.500 0.000 [1 per cell]
N: 0.500 0.500 0.500 [1 per cell]



Most stable one: #a, least stable one: #b.



#a
DFT (PBE-GGA) results for an optimized crystal structure of TiSe2N2.

Summary:
Density of states at the Fermi level: 3.12 states/eV per cell

Cell lengths 3.830, 3.830, 6.029 Å; angles 90.00, 90.00, 90.00 degrees
Space group P4/mmm (No. 123)
Inequivalent atoms, fractional coordinates:
Ti: 0.000 0.000 0.000 [1 per cell]
Se: 0.000 0.000 0.500 [1 per cell]
Se: 0.500 0.500 0.500 [1 per cell]
N: 0.000 0.500 0.000 [2 per cell]



#b
DFT (PBE-GGA) results for an optimized crystal structure of TiSe2N2.

Summary:
Density of states at the Fermi level: 4.06 states/eV per cell

Cell lengths 3.847, 3.847, 5.004 Å; angles 90.00, 90.00, 90.00 degrees
Space group P4/mmm (No. 123)
Inequivalent atoms, fractional coordinates:
Ti: 0.000 0.000 0.000 [1 per cell]
Se: 0.500 0.500 0.000 [1 per cell]
Se: 0.500 0.500 0.500 [1 per cell]
N: 0.000 0.500 0.500 [2 per cell]



Most stable one: #a, least stable one: #b.



#a
DFT (PBE-GGA) results for an optimized crystal structure of TiVSe2N.

Summary:
Density of states at the Fermi level: 5.81 states/eV per cell

Cell lengths 4.941, 4.941, 3.597 Å; angles 90.00, 90.00, 90.00 degrees
Space group P4/mmm (No. 123)
Inequivalent atoms, fractional coordinates:
Ti: 0.000 0.000 0.000 [1 per cell]
V: 0.500 0.500 0.500 [1 per cell]
Se: 0.000 0.500 0.500 [2 per cell]
N: 0.500 0.500 0.000 [1 per cell]



#b
DFT (PBE-GGA) results for an optimized crystal structure of TiVSe2N.

Summary:
Density of states at the Fermi level: 3.50 states/eV per cell

Cell lengths 5.037, 5.037, 3.698 Å; angles 90.00, 90.00, 90.00 degrees
Space group P4/mmm (No. 123)
Inequivalent atoms, fractional coordinates:
Ti: 0.000 0.000 0.000 [1 per cell]
V: 0.500 0.500 0.500 [1 per cell]
Se: 0.000 0.500 0.000 [2 per cell]
N: 0.000 0.000 0.500 [1 per cell]



Most stable one: #a, least stable one: #b.



#a
DFT (PBE-GGA) results for an optimized crystal structure of TiVSeN.

Summary:
Density of states at the Fermi level: 3.63 states/eV per cell

Cell lengths 3.596, 3.926, 4.059 Å; angles 90.00, 90.00, 90.00 degrees
Space group Pmmm (No. 47)
Inequivalent atoms, fractional coordinates:
Ti: 0.000 0.000 0.000 [1 per cell]
V: 0.000 0.500 0.500 [1 per cell]
Se: 0.500 0.500 0.000 [1 per cell]
N: 0.000 0.000 0.500 [1 per cell]



#b
DFT (PBE-GGA) results for an optimized crystal structure of TiVSeN.

Summary:
Density of states at the Fermi level: 4.40 states/eV per cell

Cell lengths 3.3004, 3.3004, 6.4451 Å; angles 90.00, 90.00, 120.00 degrees
Space group P3m1 (No. 156)
Inequivalent atoms, fractional coordinates:
Ti: 0.0000 0.0000 0.0000 [1 per cell]
V: 0.6667 0.3333 0.3431 [1 per cell]
Se: 0.6667 0.3333 0.7428 [1 per cell]
N: 0.0000 0.0000 0.3270 [1 per cell]



#c
DFT (PBE-GGA) results for an optimized crystal structure of TiVSeN.

Summary:
Density of states at the Fermi level: 1.79 states/eV per cell

Cell lengths 3.546, 4.123, 4.966 Å; angles 90.00, 110.80, 90.00 degrees
Space group Pm (No. 6)
Inequivalent atoms, fractional coordinates:
Ti: 0.000 0.000 0.000 [1 per cell]
V: 0.456 0.500 0.911 [1 per cell]
Se: 0.298 0.000 0.594 [1 per cell]
N: 0.023 0.500 0.047 [1 per cell]



#d
DFT (PBE-GGA) results for an optimized crystal structure of TiVSeN.

Summary:
Density of states at the Fermi level: 6.49 states/eV per cell

Cell lengths 3.398, 3.183, 10.613 Å; angles 90.00, 90.00, 90.00 degrees
Space group Amm2 (No. 38)
Inequivalent atoms, fractional coordinates:
Ti: 0.000 0.000 0.000 [2 per cell]
V: 0.500 0.000 0.304 [2 per cell]
Se: 0.500 0.000 0.624 [2 per cell]
N: 0.000 0.000 0.378 [2 per cell]



Most stable one: #d, least stable one: #a.



#a
DFT (PBE-GGA) results for an optimized crystal structure of TiVSeN.

Summary:
Density of states at the Fermi level: 4.81 states/eV per cell

Cell lengths 3.208, 3.242, 10.426 Å; angles 90.00, 90.00, 90.00 degrees
Space group Imm2 (No. 44)
Inequivalent atoms, fractional coordinates:
Ti: 0.000 0.000 0.000 [2 per cell]
V: 0.000 0.000 0.711 [2 per cell]
Se: 0.000 0.000 0.349 [2 per cell]
N: 0.000 0.500 0.108 [2 per cell]



#b
DFT (PBE-GGA) results for an optimized crystal structure of TiVSeN.

Summary:
Density of states at the Fermi level: 5.37 states/eV per cell

Cell lengths 3.2078, 3.2078, 17.3056 Å; angles 90.00, 90.00, 120.00 degrees
Space group R3m (No. 160, hexagonal axes)
Inequivalent atoms, fractional coordinates:
Ti: 0.0000 0.0000 0.0000 [3 per cell]
V: 0.0000 0.0000 0.7788 [3 per cell]
Se: 0.0000 0.0000 0.2199 [3 per cell]
N: 0.0000 0.0000 0.3937 [3 per cell]



#c
DFT (PBE-GGA) results for an optimized crystal structure of TiVSeN.

Summary:
Density of states at the Fermi level: 4.63 states/eV per cell

Cell lengths 5.581, 3.212, 6.048 Å; angles 90.00, 107.88, 90.00 degrees
Space group Cm (No. 8)
Inequivalent atoms, fractional coordinates:
Ti: 0.000 0.000 0.000 [2 per cell]
V: 0.444 0.000 0.330 [2 per cell]
Se: 0.220 0.000 0.661 [2 per cell]
N: 0.224 0.500 0.173 [2 per cell]



#d
DFT (PBE-GGA) results for an optimized crystal structure of TiVSeN.

Summary:
Density of states at the Fermi level: 1.08 states/eV per cell

Cell lengths 2.961, 3.102, 5.618 Å; angles 90.00, 90.00, 90.00 degrees
Space group Pmm2 (No. 25)
Inequivalent atoms, fractional coordinates:
Ti: 0.000 0.000 0.000 [1 per cell]
V: 0.000 0.500 0.383 [1 per cell]
Se: 0.500 0.500 0.749 [1 per cell]
N: 0.500 0.000 0.268 [1 per cell]



Most stable one: #c, least stable one: #d.



#a
DFT (PBE-GGA) results for an optimized crystal structure of TiVSeN.

Summary:
Density of states at the Fermi level: 2.62 states/eV per cell

Cell lengths 3.467, 3.474, 5.476 Å; angles 90.00, 90.00, 90.00 degrees
Space group Pmm2 (No. 25)
Inequivalent atoms, fractional coordinates:
Ti: 0.000 0.000 0.000 [1 per cell]
V: 0.500 0.500 0.679 [1 per cell]
Se: 0.500 0.000 0.346 [1 per cell]
N: 0.000 0.500 0.834 [1 per cell]



#b
DFT (PBE-GGA) results for an optimized crystal structure of TiVSeN.

Summary:
Density of states at the Fermi level: 2.62 states/eV per cell

Cell lengths 3.1448, 3.1448, 6.3064 Å; angles 90.00, 90.00, 120.00 degrees
Space group P3m1 (No. 156)
Inequivalent atoms, fractional coordinates:
Ti: 0.0000 0.0000 0.0000 [1 per cell]
V: 0.3333 0.6667 0.3279 [1 per cell]
Se: 0.3333 0.6667 0.7168 [1 per cell]
N: 0.6667 0.3333 0.1788 [1 per cell]



Most stable one: #b, least stable one: #a.



#a
DFT (PBE-GGA) results for an optimized crystal structure of TiWSeN2.

Summary:
Density of states at the Fermi level: 4.42 states/eV per cell

Cell lengths 3.848, 3.848, 4.988 Å; angles 90.00, 90.00, 90.00 degrees
Space group P4/mmm (No. 123)
Inequivalent atoms, fractional coordinates:
Ti: 0.000 0.000 0.000 [1 per cell]
W: 0.500 0.500 0.500 [1 per cell]
Se: 0.000 0.000 0.500 [1 per cell]
N: 0.000 0.500 0.000 [2 per cell]



#b
DFT (PBE-GGA) results for an optimized crystal structure of TiWSeN2.

Summary:
Density of states at the Fermi level: 5.85 states/eV per cell

Cell lengths 3.898, 3.898, 5.180 Å; angles 90.00, 90.00, 90.00 degrees
Space group P4/mmm (No. 123)
Inequivalent atoms, fractional coordinates:
Ti: 0.000 0.000 0.000 [1 per cell]
W: 0.500 0.500 0.500 [1 per cell]
Se: 0.500 0.500 0.000 [1 per cell]
N: 0.000 0.500 0.500 [2 per cell]



Most stable one: #b, least stable one: #a.



#a
DFT (PBE-GGA) results for an optimized crystal structure of TiWSe2N.

Summary:
Density of states at the Fermi level: 1.88 states/eV per cell

Cell lengths 5.061, 5.061, 3.626 Å; angles 90.00, 90.00, 90.00 degrees
Space group P4/mmm (No. 123)
Inequivalent atoms, fractional coordinates:
Ti: 0.000 0.000 0.000 [1 per cell]
W: 0.500 0.500 0.500 [1 per cell]
Se: 0.000 0.500 0.000 [2 per cell]
N: 0.000 0.000 0.500 [1 per cell]



#b
DFT (PBE-GGA) results for an optimized crystal structure of TiWSe2N.

Summary:
Density of states at the Fermi level: 4.74 states/eV per cell

Cell lengths 5.079, 5.079, 3.792 Å; angles 90.00, 90.00, 90.00 degrees
Space group P4/mmm (No. 123)
Inequivalent atoms, fractional coordinates:
Ti: 0.000 0.000 0.000 [1 per cell]
W: 0.500 0.500 0.500 [1 per cell]
Se: 0.000 0.500 0.500 [2 per cell]
N: 0.500 0.500 0.000 [1 per cell]



Most stable one: #b, least stable one: #a.